[1]
PrTlAgAu: relaxed, PBE.

theoretical density: 11.42 g/cm³
energy relative to the elements: -154 kJ/mol of formula units
total moment: 0.0 μB/f.u.

Structure (POSCAR):
```
PrTlAgAu
1.0
-1.3552 -4.6906 -1.5170
1.5493 -1.7653 -4.5413
3.4990 -3.7203 -0.2382
Pr Tl Au Ag
1 1 1 1
direct
0.0000 0.0000 0.0000
0.5000 0.5000 0.5000
0.7500 0.7500 0.7500
0.2500 0.2500 0.2500
```


[2]
PrZnAgAu: relaxed, PBE.

theoretical density: 9.55 g/cm³
energy relative to the elements: -161 kJ/mol of formula units
total moment: 0.0 μB/f.u.
energy above the lowest structure with this stoichiometry: 0.000 eV per atom

Structure (POSCAR):
```
PrZnAgAu
1.0
4.6585 0.0000 0.0000
-2.3293 4.0339 0.0005
0.0000 -2.6822 4.7301
Pr Zn Ag Au
1 1 1 1
direct
0.6203 0.2407 0.5030
0.1064 0.2127 0.9611
0.8373 0.6746 0.1544
0.4023 0.8046 0.8488
```